Entry 1:
# PBE Rb2P2Pd, optimized geometry
data_Rb2P2Pd
_chemical_formula_sum 'Rb4 P4 Pd2'
_cell_length_a 4.1038
_cell_length_b 5.2231
_cell_length_c 11.4481
_cell_angle_alpha 90.00
_cell_angle_beta 90.00
_cell_angle_gamma 90.00
_symmetry_space_group_name_H-M 'I m m m'
_symmetry_Int_Tables_number 71
_symmetry_space_group_name_Hall '-I 2 2'
loop_
_atom_site_label
_atom_site_fract_x
_atom_site_fract_y
_atom_site_fract_z
Rb1 0.0000 0.0000 0.2063
P1 0.0000 0.2694 0.5000
Pd1 0.0000 0.5000 0.0000
# Energy of formation from the pure elements: -0.28 eV per atom
# Crystal system: orthorhombic
# Magnetic moment: 0.0 μB/f.u.
# Theoretical density: 4.59 Mg/m³

Entry 2:
# PBE Rb3PPd4, optimized geometry
data_Rb3PPd4
_chemical_formula_sum 'Rb6 P2 Pd8'
_cell_length_a 6.3153
_cell_length_b 13.0728
_cell_length_c 5.8581
_cell_angle_alpha 90.00
_cell_angle_beta 90.00
_cell_angle_gamma 90.00
_symmetry_space_group_name_H-M 'P m m n'
_symmetry_Int_Tables_number 59
loop_
_symmetry_equiv_pos_as_xyz
'x,y,z'
'-x,-y,-z'
'-x+1/2,-y+1/2,z'
'x+1/2,y+1/2,-z'
'x+1/2,-y,-z'
'-x+1/2,y,z'
'-x,y+1/2,-z'
'x,-y+1/2,z'
loop_
_atom_site_label
_atom_site_fract_x
_atom_site_fract_y
_atom_site_fract_z
Rb1 0.2500 0.0106 0.1754
Rb2 0.2500 0.2500 0.5202
P1 0.2500 0.7500 0.3123
Pd1 0.0369 0.7500 0.9956
Pd2 0.2500 0.6480 0.6332
# Energy of formation from the pure elements: -0.08 eV per atom
# Crystal system: orthorhombic
# Magnetic moment: 0.0 μB/f.u.
# Theoretical density: 4.90 Mg/m³

Entry 3:
# PBE RbP12Pd4, optimized geometry
data_RbP12Pd4
_chemical_formula_sum 'Rb2 P24 Pd8'
_cell_length_a 8.3244
_cell_length_b 8.3244
_cell_length_c 8.3244
_cell_angle_alpha 90.00
_cell_angle_beta 90.00
_cell_angle_gamma 90.00
_symmetry_space_group_name_H-M 'I m -3'
_symmetry_Int_Tables_number 204
_symmetry_space_group_name_Hall '-I 2 2 3'
loop_
_atom_site_label
_atom_site_fract_x
_atom_site_fract_y
_atom_site_fract_z
Rb1 0.0000 0.0000 0.0000
P1 0.0000 0.1349 0.3674
Pd1 0.2500 0.2500 0.2500
# Energy of formation from the pure elements: -0.29 eV per atom
# Crystal system: cubic
# Magnetic moment: 0.0 μB/f.u.
# Theoretical density: 5.08 Mg/m³

Entry 4:
# PBE RbPPd, optimized geometry
data_RbPPd
_chemical_formula_sum 'Rb4 P4 Pd4'
_cell_length_a 5.0499
_cell_length_b 6.7076
_cell_length_c 10.9930
_cell_angle_alpha 90.00
_cell_angle_beta 105.70
_cell_angle_gamma 90.00
_symmetry_space_group_name_H-M 'P 1 21/c 1'
_symmetry_Int_Tables_number 14
_symmetry_space_group_name_Hall '-P 2ybc'
loop_
_atom_site_label
_atom_site_fract_x
_atom_site_fract_y
_atom_site_fract_z
Rb1 0.2026 0.0862 0.3471
P1 0.1708 0.6084 0.5173
Pd1 0.4461 0.5806 0.3802
# Energy of formation from the pure elements: -0.19 eV per atom
# Crystal system: monoclinic
# Magnetic moment: 0.0 μB/f.u.
# Theoretical density: 4.13 Mg/m³

Entry 5:
# PBE Rb2P2Pd, optimized geometry
data_Rb2P2Pd
_chemical_formula_sum 'Rb4 P4 Pd2'
_cell_length_a 6.3835
_cell_length_b 6.3835
_cell_length_c 5.7085
_cell_angle_alpha 90.00
_cell_angle_beta 90.00
_cell_angle_gamma 90.00
_symmetry_space_group_name_H-M 'P 4/m b m'
_symmetry_Int_Tables_number 127
_symmetry_space_group_name_Hall '-P 4 2ab'
loop_
_atom_site_label
_atom_site_fract_x
_atom_site_fract_y
_atom_site_fract_z
Rb1 0.1776 0.3224 0.0000
P1 0.1282 0.6282 0.5000
Pd1 0.0000 0.0000 0.5000
# Energy of formation from the pure elements: -0.23 eV per atom
# Crystal system: tetragonal
# Magnetic moment: 0.0 μB/f.u.
# Theoretical density: 4.84 Mg/m³

Entry 6:
# PBE Rb3P2Pd4, optimized geometry
data_Rb3P2Pd4
_chemical_formula_sum 'Rb6 P4 Pd8'
_cell_length_a 13.1916
_cell_length_b 3.8572
_cell_length_c 10.0014
_cell_angle_alpha 90.00
_cell_angle_beta 96.24
_cell_angle_gamma 90.00
_symmetry_space_group_name_H-M 'C 1 2/m 1'
_symmetry_Int_Tables_number 12
_symmetry_space_group_name_Hall '-C 2y'
loop_
_atom_site_label
_atom_site_fract_x
_atom_site_fract_y
_atom_site_fract_z
Rb1 0.0000 0.0000 0.0000
Rb2 0.1174 0.5000 0.3858
P1 0.1846 0.5000 0.8210
Pd1 0.1265 0.0000 0.7048
Pd2 0.2273 0.5000 0.0809
# Energy of formation from the pure elements: -0.28 eV per atom
# Crystal system: monoclinic
# Magnetic moment: 0.0 μB/f.u.
# Theoretical density: 4.88 Mg/m³

Entry 7:
# PBE RbP2Pd, optimized geometry
data_RbP2Pd
_chemical_formula_sum 'Rb4 P8 Pd4'
_cell_length_a 6.8368
_cell_length_b 6.8368
_cell_length_c 6.8368
_cell_angle_alpha 90.00
_cell_angle_beta 90.00
_cell_angle_gamma 90.00
_symmetry_space_group_name_H-M 'F m -3 m'
_symmetry_Int_Tables_number 225
_symmetry_space_group_name_Hall '-F 4 2 3'
loop_
_atom_site_label
_atom_site_fract_x
_atom_site_fract_y
_atom_site_fract_z
Rb1 0.0000 0.0000 0.0000
P1 0.2500 0.2500 0.2500
Pd1 0.0000 0.0000 0.5000
# Energy relative to the lowest polymorph listed for this composition: 679 meV per atom
# Energy of formation from the pure elements: 0.62 eV per atom
# Crystal system: cubic
# Magnetic moment: 0.0 μB/f.u.
# Theoretical density: 5.28 Mg/m³

Entry 8:
# PBE Rb2PPd2, optimized geometry
data_Rb2PPd2
_chemical_formula_sum 'Rb8 P4 Pd8'
_cell_length_a 4.3165
_cell_length_b 4.3165
_cell_length_c 40.1743
_cell_angle_alpha 90.00
_cell_angle_beta 90.00
_cell_angle_gamma 90.00
_symmetry_space_group_name_H-M 'I 41/a m d'
_symmetry_Int_Tables_number 141
loop_
_symmetry_equiv_pos_as_xyz
'x,y,z'
'-x,-y,-z'
'-y+1/4,x+3/4,z+1/4'
'y+1/4,-x+3/4,-z+1/4'
'-x+1/2,-y,z+1/2'
'x+1/2,y,-z+1/2'
'y+1/4,-x+1/4,z+3/4'
'-y+1/4,x+1/4,-z+3/4'
'x,-y,-z'
'-x,y,z'
'-y+1/4,-x+1/4,-z+3/4'
'y+1/4,x+1/4,z+3/4'
'-x+1/2,y,-z+1/2'
'x+1/2,-y,z+1/2'
'y+1/4,x+3/4,-z+1/4'
'-y+1/4,-x+3/4,z+1/4'
'x+1/2,y+1/2,z+1/2'
'-x+1/2,-y+1/2,-z+1/2'
'-y+3/4,x+1/4,z+3/4'
'y+3/4,-x+1/4,-z+3/4'
'-x,-y+1/2,z'
'x,y+1/2,-z'
'y+3/4,-x+3/4,z+1/4'
'-y+3/4,x+3/4,-z+1/4'
'x+1/2,-y+1/2,-z+1/2'
'-x+1/2,y+1/2,z+1/2'
'-y+3/4,-x+3/4,-z+1/4'
'y+3/4,x+3/4,z+1/4'
'-x,y+1/2,-z'
'x,-y+1/2,z'
'y+3/4,x+1/4,-z+3/4'
'-y+3/4,-x+1/4,z+3/4'
loop_
_atom_site_label
_atom_site_fract_x
_atom_site_fract_y
_atom_site_fract_z
Rb1 0.0000 0.2500 0.0584
P1 0.0000 0.2500 0.3750
Pd1 0.0000 0.2500 0.1460
# Energy relative to the lowest polymorph listed for this composition: 14 meV per atom
# Energy of formation from the pure elements: -0.20 eV per atom
# Crystal system: tetragonal
# Magnetic moment: 0.0 μB/f.u.
# Theoretical density: 3.68 Mg/m³

Entry 9:
# PBE RbP2Pd, optimized geometry
data_RbP2Pd
_chemical_formula_sum 'Rb4 P8 Pd4'
_cell_length_a 7.3531
_cell_length_b 7.3531
_cell_length_c 8.0369
_cell_angle_alpha 90.00
_cell_angle_beta 90.00
_cell_angle_gamma 90.00
_symmetry_space_group_name_H-M 'I -4 2 d'
_symmetry_Int_Tables_number 122
_symmetry_space_group_name_Hall 'I -4 2bw'
loop_
_atom_site_label
_atom_site_fract_x
_atom_site_fract_y
_atom_site_fract_z
Rb1 0.0000 0.0000 0.0000
P1 0.1297 0.2500 0.6250
Pd1 0.0000 0.0000 0.5000
# Energy relative to the lowest polymorph listed for this composition: 95 meV per atom
# Energy of formation from the pure elements: 0.04 eV per atom
# Crystal system: tetragonal
# Magnetic moment: 0.0 μB/f.u.
# Theoretical density: 3.88 Mg/m³

Entry 10:
# PBE Rb2P2Pd, optimized geometry
data_Rb2P2Pd
_chemical_formula_sum 'Rb8 P8 Pd4'
_cell_length_a 6.6434
_cell_length_b 14.6561
_cell_length_c 6.1023
_cell_angle_alpha 90.00
_cell_angle_beta 90.00
_cell_angle_gamma 90.00
_symmetry_space_group_name_H-M 'C m c m'
_symmetry_Int_Tables_number 63
_symmetry_space_group_name_Hall '-C 2c 2'
loop_
_atom_site_label
_atom_site_fract_x
_atom_site_fract_y
_atom_site_fract_z
Rb1 0.0000 0.0784 0.2500
Rb2 0.0000 0.2870 0.7500
P1 0.1639 0.3941 0.2500
Pd1 0.0000 0.5000 0.0000
# Energy of formation from the pure elements: -0.51 eV per atom
# Crystal system: orthorhombic
# Magnetic moment: 0.0 μB/f.u.
# Theoretical density: 3.79 Mg/m³

Entry 11:
# PBE RbPPd, optimized geometry
data_RbPPd
_chemical_formula_sum 'Rb1 P1 Pd1'
_cell_length_a 4.0493
_cell_length_b 4.0493
_cell_length_c 5.5911
_cell_angle_alpha 90.00
_cell_angle_beta 90.00
_cell_angle_gamma 120.00
_symmetry_space_group_name_H-M 'P -6 m 2'
_symmetry_Int_Tables_number 187
_symmetry_space_group_name_Hall 'P -6 2'
loop_
_atom_site_label
_atom_site_fract_x
_atom_site_fract_y
_atom_site_fract_z
Rb1 0.0000 0.0000 0.0000
P1 0.3333 0.6667 0.5000
Pd1 0.6667 0.3333 0.5000
# Energy of formation from the pure elements: -0.33 eV per atom
# Crystal system: hexagonal
# Magnetic moment: 0.3 μB/f.u.
# Theoretical density: 4.66 Mg/m³

Entry 12:
# PBE RbP6Pd12, optimized geometry
data_RbP6Pd12
_chemical_formula_sum 'Rb3 P18 Pd36'
_cell_length_a 11.1581
_cell_length_b 11.1581
_cell_length_c 8.9085
_cell_angle_alpha 90.00
_cell_angle_beta 90.00
_cell_angle_gamma 120.00
_symmetry_space_group_name_H-M 'R -3 m'
_symmetry_Int_Tables_number 166
_symmetry_space_group_name_Hall '-R 3 2"'
loop_
_atom_site_label
_atom_site_fract_x
_atom_site_fract_y
_atom_site_fract_z
Rb1 0.0000 0.0000 0.0000
P1 0.0481 0.5241 0.2902
Pd1 0.0000 0.3719 0.5000
Pd2 0.0920 0.1840 0.3663
# Energy of formation from the pure elements: -0.44 eV per atom
# Crystal system: trigonal
# Magnetic moment: 0.0 μB/f.u.
# Theoretical density: 8.03 Mg/m³